First-principles (PBE) data for crystalline SrTlCl2 at its relaxed geometry, as listed in Alexandria.

Structure (CIF):
```
data_SrTlCl2
_chemical_formula_sum 'Sr4 Tl4 Cl8'
_cell_length_a 7.4393
_cell_length_b 7.4393
_cell_length_c 13.4356
_cell_angle_alpha 90.00
_cell_angle_beta 90.00
_cell_angle_gamma 90.00
_space_group_name_H-M_alt 'I -4 2 d'
_space_group_IT_number 122
_space_group_name_Hall 'I -4 2bw'
loop_
_atom_site_label
_atom_site_type_symbol
_atom_site_fract_x
_atom_site_fract_y
_atom_site_fract_z
Sr1 Sr 0.0000 0.0000 0.0000
Tl1 Tl 0.0000 0.0000 0.5000
Cl1 Cl 0.1653 0.2500 0.1250
```

formation energy from raw total energies: -525.9 kJ/mol of formula units
E above lowest polymorph: 0.252 eV per atom
total energy: -3.30 eV per atom